Density functional theory data (PBE) for a relaxed OsSeCl2 crystal.

Cell and atoms, written as CIF:
```
data_OsSeCl2
_space_group_name_H-M_alt 'P 4 m m'
_space_group_IT_number 99
_space_group_name_Hall 'P 4 -2'
_cell_length_a 3.016
_cell_length_b 3.016
_cell_length_c 9.454
_cell_angle_alpha 90.00
_cell_angle_beta 90.00
_cell_angle_gamma 90.00
loop_
_atom_site_label
_atom_site_type_symbol
_atom_site_fract_x
_atom_site_fract_y
_atom_site_fract_z
_atom_site_occupancy
Os1 Os 0.000 0.000 0.000 1
Se1 Se 0.500 0.500 0.148 1
Cl1 Cl 0.000 0.000 0.444 1
Cl2 Cl 0.500 0.500 0.813 1
```

Raw formation energy: 372 meV per atom
Offset from the most stable computed form: 47.0 kJ per mole of atoms

***

Density functional theory data (PBE) for a relaxed K2CuBr4 crystal.

Cell and atoms, written as CIF:
```
data_K2CuBr4
_space_group_name_H-M_alt 'I 4/m m m'
_space_group_IT_number 139
_space_group_name_Hall '-I 4 2'
_cell_length_a 5.198
_cell_length_b 5.198
_cell_length_c 16.388
_cell_angle_alpha 90.00
_cell_angle_beta 90.00
_cell_angle_gamma 90.00
loop_
_atom_site_label
_atom_site_type_symbol
_atom_site_fract_x
_atom_site_fract_y
_atom_site_fract_z
_atom_site_occupancy
K1 K 0.000 0.000 0.138 1
Cu1 Cu 0.000 0.000 0.500 1
Br1 Br 0.000 0.000 0.342 1
Br2 Br 0.000 0.500 0.000 1
```

Raw formation energy: -1087 meV per atom

***

Density functional theory data (PBE) for a relaxed YTm4Cu4 crystal.

Cell and atoms, written as CIF:
```
data_YTm4Cu4
_space_group_name_H-M_alt 'P 42/n'
_space_group_IT_number 86
_cell_length_a 8.770
_cell_length_b 8.770
_cell_length_c 5.633
_cell_angle_alpha 90.00
_cell_angle_beta 90.00
_cell_angle_gamma 90.00
loop_
_space_group_symop_operation_xyz
'x,y,z'
'-x,-y,-z'
'-y,x+1/2,z+1/2'
'y,-x+1/2,-z+1/2'
'-x+1/2,-y+1/2,z'
'x+1/2,y+1/2,-z'
'y+1/2,-x,z+1/2'
'-y+1/2,x,-z+1/2'
loop_
_atom_site_label
_atom_site_type_symbol
_atom_site_fract_x
_atom_site_fract_y
_atom_site_fract_z
_atom_site_occupancy
Y1 Y 0.250 0.250 0.250 1
Tm1 Tm 0.072 0.660 0.151 1
Cu1 Cu 0.027 0.612 0.638 1
```

***

Density functional theory data (PBE) for a relaxed Ti3TeP crystal.

Cell and atoms, written as CIF:
```
data_Ti3TeP
_space_group_name_H-M_alt 'P m -3 m'
_space_group_IT_number 221
_space_group_name_Hall '-P 4 2 3'
_cell_length_a 4.607
_cell_length_b 4.607
_cell_length_c 4.607
_cell_angle_alpha 90.00
_cell_angle_beta 90.00
_cell_angle_gamma 90.00
loop_
_atom_site_label
_atom_site_type_symbol
_atom_site_fract_x
_atom_site_fract_y
_atom_site_fract_z
_atom_site_occupancy
Ti1 Ti 0.000 0.000 0.500 1
Te1 Te 0.500 0.500 0.500 1
P1 P 0.000 0.000 0.000 1
```

Raw formation energy: -270 meV per atom
Offset from the most stable computed form: 0.0 kJ per mole of atoms

***

Density functional theory data (PBE) for a relaxed CuTeAu2 crystal.

Cell and atoms, written as CIF:
```
data_CuTeAu2
_space_group_name_H-M_alt 'P 4 m m'
_space_group_IT_number 99
_space_group_name_Hall 'P 4 -2'
_cell_length_a 3.604
_cell_length_b 3.604
_cell_length_c 5.898
_cell_angle_alpha 90.00
_cell_angle_beta 90.00
_cell_angle_gamma 90.00
loop_
_atom_site_label
_atom_site_type_symbol
_atom_site_fract_x
_atom_site_fract_y
_atom_site_fract_z
_atom_site_occupancy
Cu1 Cu 0.000 0.000 0.000 1
Te1 Te 0.500 0.500 0.237 1
Au1 Au 0.000 0.000 0.536 1
Au2 Au 0.500 0.500 0.768 1
```

Raw formation energy: 163 meV per atom

***

Density functional theory data (PBE) for a relaxed UTiSb2 crystal.

Cell and atoms, written as CIF:
```
data_UTiSb2
_space_group_name_H-M_alt 'P 4/m m m'
_space_group_IT_number 123
_space_group_name_Hall '-P 4 2'
_cell_length_a 4.988
_cell_length_b 4.988
_cell_length_c 3.728
_cell_angle_alpha 90.00
_cell_angle_beta 90.00
_cell_angle_gamma 90.00
loop_
_atom_site_label
_atom_site_type_symbol
_atom_site_fract_x
_atom_site_fract_y
_atom_site_fract_z
_atom_site_occupancy
U1 U 0.000 0.000 0.000 1
Ti1 Ti 0.500 0.500 0.000 1
Sb1 Sb 0.000 0.500 0.500 1
```

Raw formation energy: -180 meV per atom
Offset from the most stable computed form: 0.0 kJ per mole of atoms

***

Density functional theory data (PBE) for a relaxed SrTlC3 crystal.

Cell and atoms, written as CIF:
```
data_SrTlC3
_space_group_name_H-M_alt 'P m -3 m'
_space_group_IT_number 221
_space_group_name_Hall '-P 4 2 3'
_cell_length_a 4.523
_cell_length_b 4.523
_cell_length_c 4.523
_cell_angle_alpha 90.00
_cell_angle_beta 90.00
_cell_angle_gamma 90.00
loop_
_atom_site_label
_atom_site_type_symbol
_atom_site_fract_x
_atom_site_fract_y
_atom_site_fract_z
_atom_site_occupancy
Sr1 Sr 0.000 0.000 0.000 1
Tl1 Tl 0.500 0.500 0.500 1
C1 C 0.000 0.500 0.500 1
```

Offset from the most stable computed form: 0.0 kJ per mole of atoms

***

Density functional theory data (PBE) for a relaxed Ti2AlRh crystal.

Cell and atoms, written as CIF:
```
data_Ti2AlRh
_space_group_name_H-M_alt 'I 4/m m m'
_space_group_IT_number 139
_space_group_name_Hall '-I 4 2'
_cell_length_a 4.229
_cell_length_b 4.229
_cell_length_c 13.792
_cell_angle_alpha 90.00
_cell_angle_beta 90.00
_cell_angle_gamma 90.00
loop_
_atom_site_label
_atom_site_type_symbol
_atom_site_fract_x
_atom_site_fract_y
_atom_site_fract_z
_atom_site_occupancy
Ti1 Ti 0.000 0.000 0.133 1
Ti2 Ti 0.000 0.500 0.000 1
Al1 Al 0.000 0.000 0.361 1
Rh1 Rh 0.000 0.500 0.250 1
```

***

Density functional theory data (PBE) for a relaxed CaY4Te crystal.

Cell and atoms, written as CIF:
```
data_CaY4Te
_space_group_name_H-M_alt 'F -4 3 m'
_space_group_IT_number 216
_space_group_name_Hall 'F -4 2 3'
_cell_length_a 9.387
_cell_length_b 9.387
_cell_length_c 9.387
_cell_angle_alpha 90.00
_cell_angle_beta 90.00
_cell_angle_gamma 90.00
loop_
_atom_site_label
_atom_site_type_symbol
_atom_site_fract_x
_atom_site_fract_y
_atom_site_fract_z
_atom_site_occupancy
Ca1 Ca 0.000 0.000 0.000 1
Y1 Y 0.126 0.126 0.374 1
Te1 Te 0.250 0.250 0.750 1
```

Raw formation energy: 133 meV per atom

***

Density functional theory data (PBE) for a relaxed InS2Br crystal.

Cell and atoms, written as CIF:
```
data_InS2Br
_space_group_name_H-M_alt 'I -4 2 d'
_space_group_IT_number 122
_space_group_name_Hall 'I -4 2bw'
_cell_length_a 6.883
_cell_length_b 6.883
_cell_length_c 9.776
_cell_angle_alpha 90.00
_cell_angle_beta 90.00
_cell_angle_gamma 90.00
loop_
_atom_site_label
_atom_site_type_symbol
_atom_site_fract_x
_atom_site_fract_y
_atom_site_fract_z
_atom_site_occupancy
In1 In 0.000 0.000 0.000 1
S1 S 0.200 0.250 0.125 1
Br1 Br 0.000 0.000 0.500 1
```

Raw formation energy: 119 meV per atom
Offset from the most stable computed form: 38.6 kJ per mole of atoms

***

Density functional theory data (PBE) for a relaxed PmGdSn2 crystal.

Cell and atoms, written as CIF:
```
data_PmGdSn2
_space_group_name_H-M_alt 'F m -3 m'
_space_group_IT_number 225
_space_group_name_Hall '-F 4 2 3'
_cell_length_a 7.687
_cell_length_b 7.687
_cell_length_c 7.687
_cell_angle_alpha 90.00
_cell_angle_beta 90.00
_cell_angle_gamma 90.00
loop_
_atom_site_label
_atom_site_type_symbol
_atom_site_fract_x
_atom_site_fract_y
_atom_site_fract_z
_atom_site_occupancy
Pm1 Pm 0.000 0.000 0.000 1
Gd1 Gd 0.000 0.000 0.500 1
Sn1 Sn 0.250 0.250 0.250 1
```

Offset from the most stable computed form: 9.3 kJ per mole of atoms

***

Density functional theory data (PBE) for a relaxed TaCu2Rh2 crystal.

Cell and atoms, written as CIF:
```
data_TaCu2Rh2
_space_group_name_H-M_alt 'P 4/m b m'
_space_group_IT_number 127
_space_group_name_Hall '-P 4 2ab'
_cell_length_a 6.942
_cell_length_b 6.942
_cell_length_c 2.934
_cell_angle_alpha 90.00
_cell_angle_beta 90.00
_cell_angle_gamma 90.00
loop_
_atom_site_label
_atom_site_type_symbol
_atom_site_fract_x
_atom_site_fract_y
_atom_site_fract_z
_atom_site_occupancy
Ta1 Ta 0.000 0.000 0.000 1
Cu1 Cu 0.125 0.375 0.000 1
Rh1 Rh 0.172 0.672 0.500 1
```

Offset from the most stable computed form: 9.9 kJ per mole of atoms

***

The following DFT total energy values (in eV for the cell shown) correspond, in order, to the records above: -16.9 -41.2 -82.4 -33.6 -13.1 -28.1 -18.9 -117.3 -120.8 -48.8 -116.8 -70.0.
The following calculated volume values (in Å³ per cell) correspond, in order, to the records above: 86.0 442.9 433.3 97.8 76.6 92.8 92.5 246.7 827.2 463.1 454.3 141.4.